(1)
KBe2Te | Alexandria | PBE | relaxed; ρ = 3.1 g/cm³; E_form (uncorrected) = 259.8 meV/atom; SG = Pm (6); DFT total energy = -2.663 eV/atom
1.0
-0.342 2.865 2.761
-1.588 -2.575 2.475
5.092 -2.575 3.302
Be K Te
2 1 1
direct
0.000 0.083 0.049
0.500 0.183 0.111
0.000 0.452 0.469
0.500 0.782 0.871

***

(2)
KBeTe2 | Alexandria | PBE | relaxed; ρ = 4.1 g/cm³; E_form (uncorrected) = -246.1 meV/atom; SG = Immm (71); DFT total energy = -3.023 eV/atom
1.0
-2.914 -1.951 -5.194
4.433 -3.247 -3.013
-3.726 0.266 5.032
Te Be K
2 1 1
direct
0.923 0.923 0.000
0.577 0.577 0.000
0.750 0.250 0.500
0.250 0.750 0.500

***

(3)
KBeTe2 | Alexandria | PBE | relaxed; ρ = 4.6 g/cm³; E_form (uncorrected) = 323.9 meV/atom; SG = I-4m2 (119); DFT total energy = -2.453 eV/atom
1.0
-5.824 1.235 2.346
-4.771 -4.235 -0.493
6.133 0.241 1.810
K Te Be
1 2 1
direct
0.750 0.250 0.500
0.000 0.000 0.000
0.250 0.750 0.500
0.500 0.500 0.000